Computed, not measured: a relaxed Mg2CrO3 crystal at the PBE with a Hubbard U level of DFT.

For the total DFT energy (no corrections), the calculation gives -6.5552 eV/atom.

It has space group C2/m (No. 12), with a = 5.486 Å, b = 8.946 Å, c = 5.537 Å, α = 90.00°, β = 114.77° and γ = 90.00°. The asymmetric unit holds Mg at (0.000, 0.000, 0.000), Mg at (0.000, 0.168, 0.500), Mg at (0.000, 0.500, 0.500), Cr at (0.000, 0.330, 0.000), O at (0.227, 0.164, 0.268) and O at (0.240, 0.500, 0.250).